DFT (PBE) results for an optimized crystal structure of PrMg11Cu.

abc: 7.7575 7.7575 7.6581
angles: 97.27 97.27 136.88
With the nearest neighbours (Å) after each atom.
Element x y z (fractional)
Pr  0.0000  0.0000  0.0000  18 Mg 3.56-3.88, 2 Cu 3.91
Mg  0.0000  0.0000  0.5000  2 Cu 2.85, 8 Mg 2.95-3.03
Mg  0.0000  0.5000  0.0000  8 Mg 2.85-3.11
Mg  0.0098  0.3537  0.3584  8 Mg 3.03-3.39, 1 Cu 3.04
Mg  0.3002  0.5071  0.7790  1 Cu 2.81, 5 Mg 2.95-3.06
Mg  0.3537  0.0098  0.3584  8 Mg 3.03-3.39, 1 Cu 3.04
Mg  0.4929  0.6998  0.2210  1 Cu 2.81, 5 Mg 2.95-3.06
Mg  0.5000  0.0000  0.0000  8 Mg 2.85-3.11
Mg  0.5071  0.3002  0.7790  1 Cu 2.81, 5 Mg 2.95-3.06
Mg  0.6463  0.9902  0.6416  8 Mg 3.03-3.39, 1 Cu 3.04
Mg  0.6998  0.4929  0.2210  1 Cu 2.81, 5 Mg 2.95-3.06
Mg  0.9902  0.6463  0.6416  8 Mg 3.03-3.39, 1 Cu 3.04
Cu  0.5000  0.5000  0.5000  10 Mg 2.81-3.04

Results
Density of states at the Fermi level = 6.350 states/eV/cell
SG = C2/m
Density = 2.65 Mg/m³
DFT formation energy = -0.06 eV/atom


DFT (PBE) results for an optimized crystal structure of Pr12MgCu6.

abc: 8.9433 8.9433 8.9433
angles: 109.47 109.47 109.47
With the nearest neighbours (Å) after each atom.
Element x y z (fractional)
Pr  0.1139  0.8126  0.3013  3 Cu 2.86-3.08
Pr  0.1874  0.3013  0.4888  3 Cu 2.86-3.08
Pr  0.1874  0.6987  0.8861  3 Cu 2.86-3.08
Pr  0.3013  0.1139  0.8126  3 Cu 2.86-3.08
Pr  0.3013  0.4888  0.1874  3 Cu 2.86-3.08
Pr  0.4888  0.1874  0.3013  3 Cu 2.86-3.08
Pr  0.5112  0.8126  0.6987  3 Cu 2.86-3.08
Pr  0.6987  0.5112  0.8126  3 Cu 2.86-3.08
Pr  0.6987  0.8861  0.1874  3 Cu 2.86-3.08
Pr  0.8126  0.3013  0.1139  3 Cu 2.86-3.08
Pr  0.8126  0.6987  0.5112  3 Cu 2.86-3.08
Pr  0.8861  0.1874  0.6987  3 Cu 2.86-3.08
Mg  0.0000  0.0000  0.0000  12 Pr 3.66
Cu  0.1202  0.6202  0.5000  1 Cu 2.48
Cu  0.3798  0.5000  0.8798  1 Cu 2.48
Cu  0.5000  0.1202  0.6202  1 Cu 2.48
Cu  0.5000  0.8798  0.3798  1 Cu 2.48
Cu  0.6202  0.5000  0.1202  1 Cu 2.48
Cu  0.8798  0.3798  0.5000  1 Cu 2.48

Results
Density of states at the Fermi level = 23.633 states/eV/cell
SG = Im-3
Density = 6.32 Mg/m³
DFT formation energy = -0.06 eV/atom


DFT (PBE) results for an optimized crystal structure of Pr8Mg2Cu.

abc: 9.7285 9.7285 7.0500
angles: 103.81 103.81 32.77
With the nearest neighbours (Å) after each atom.
Element x y z (fractional)
Pr  0.0177  0.0177  0.2737  2 Cu 3.23, 1 Mg 3.28, 3 Pr 3.42-3.54
Pr  0.1994  0.1994  0.7793  3 Mg 3.23-3.46, 3 Pr 3.55-3.57
Pr  0.3489  0.3489  0.5466  1 Cu 2.92, 1 Mg 3.26
Pr  0.4079  0.4079  0.0568  1 Cu 3.17, 3 Pr 3.49-3.54
Pr  0.5921  0.5921  0.9432  1 Cu 3.17, 3 Pr 3.49-3.54
Pr  0.6511  0.6511  0.4534  1 Cu 2.92, 1 Mg 3.26
Pr  0.8006  0.8006  0.2207  3 Mg 3.23-3.46, 3 Pr 3.55-3.57
Pr  0.9823  0.9823  0.7263  2 Cu 3.23, 1 Mg 3.28, 3 Pr 3.42-3.54
Mg  0.1885  0.1885  0.2289  9 Pr 3.23-3.61
Mg  0.8115  0.8115  0.7711  9 Pr 3.23-3.61
Cu  0.5000  0.5000  0.5000  8 Pr 2.92-3.23

Results
Density of states at the Fermi level = 12.764 states/eV/cell
SG = C2/m
Density = 5.88 Mg/m³
DFT formation energy = 0.01 eV/atom


DFT (PBE) results for an optimized crystal structure of PrMg3Cu2.

abc: 8.4368 8.4368 8.2880
angles: 117.78 117.78 29.82
With the nearest neighbours (Å) after each atom.
Element x y z (fractional)
Pr  0.1421  0.1421  0.0689  6 Cu 3.14-3.32, 3 Mg 3.45-3.47
Pr  0.8579  0.8579  0.9311  6 Cu 3.14-3.32, 3 Mg 3.45-3.47
Mg  0.0433  0.0433  0.3734  3 Cu 2.71-2.76, 2 Mg 3.00
Mg  0.3157  0.3157  0.5482  4 Cu 2.67-2.94, 3 Mg 2.88-2.98
Mg  0.3907  0.3907  0.2833  3 Cu 2.69-2.70, 1 Mg 2.98
Mg  0.6093  0.6093  0.7167  3 Cu 2.69-2.70, 1 Mg 2.98
Mg  0.6843  0.6843  0.4518  4 Cu 2.67-2.94, 3 Mg 2.88-2.98
Mg  0.9567  0.9567  0.6266  3 Cu 2.71-2.76, 2 Mg 3.00
Cu  0.2052  0.2052  0.7083  6 Mg 2.70-2.94
Cu  0.4854  0.4854  0.8431  1 Cu 2.41, 2 Mg 2.67-2.69
Cu  0.5146  0.5146  0.1569  1 Cu 2.41, 2 Mg 2.67-2.69
Cu  0.7948  0.7948  0.2917  6 Mg 2.70-2.94

Results
Density of states at the Fermi level = 7.969 states/eV/cell
SG = C2/m
Density = 4.41 Mg/m³
DFT formation energy = -0.09 eV/atom


- What is the DFT formation energy in the first record?
  -0.06 eV/atom